No. 1
Entry from Alexandria via LeMat-Bulk: a relaxed Ho3Tm2Tl4 crystal (PBE-GGA).

Output
The value obtained for the total DFT energy (no corrections) is -134.30 eV for the cell shown. The calculation puts the calculated density at 10.41 g/cm³. For the formation energy from the elements, the calculation gives -159 meV per atom.

Structure (CIF):
```
data_Ho3Tm2Tl4
_symmetry_space_group_name_H-M 'C m c e'
_symmetry_Int_Tables_number 64
_symmetry_space_group_name_Hall '-C 2ac 2'
_cell_length_a 7.105
_cell_length_b 15.501
_cell_length_c 9.558
_cell_angle_alpha 90.00
_cell_angle_beta 90.00
_cell_angle_gamma 90.00
loop_
_atom_site_label
_atom_site_type_symbol
_atom_site_fract_x
_atom_site_fract_y
_atom_site_fract_z
Ho1 Ho 0.000 0.000 0.000
Ho2 Ho 0.250 0.211 0.250
Tm1 Tm 0.000 0.108 0.554
Tl1 Tl 0.000 0.195 0.969
Tl2 Tl 0.250 0.010 0.250
```

No. 2
Entry from Alexandria via LeMat-Bulk: a relaxed Ho8TmTl6 crystal (PBE-GGA).

Output
The value obtained for the total DFT energy (no corrections) is -171.42 eV for the cell shown. The calculation puts the calculated density at 9.81 g/cm³. For the formation energy from the elements, the calculation gives -123 meV per atom.

Structure (CIF):
```
data_Ho8TmTl6
_symmetry_space_group_name_H-M 'R -3'
_symmetry_Int_Tables_number 148
_symmetry_space_group_name_Hall '-R 3'
_cell_length_a 9.0427
_cell_length_b 9.0427
_cell_length_c 19.4687
_cell_angle_alpha 90.00
_cell_angle_beta 90.00
_cell_angle_gamma 120.00
loop_
_atom_site_label
_atom_site_type_symbol
_atom_site_fract_x
_atom_site_fract_y
_atom_site_fract_z
Ho1 Ho 0.0000 0.0000 0.1666
Ho2 Ho 0.0000 0.3334 0.0577
Tm1 Tm 0.0000 0.0000 0.5000
Tl1 Tl 0.9999 0.3323 0.5645
```

No. 3
Entry from Alexandria via LeMat-Bulk: a relaxed HoTm3Tl3 crystal (PBE-GGA).

Output
The value obtained for the total DFT energy (no corrections) is -52.98 eV for the cell shown. The calculation puts the calculated density at 11.00 g/cm³. For the formation energy from the elements, the calculation gives -200 meV per atom.

Structure (CIF):
```
data_HoTm3Tl3
_symmetry_space_group_name_H-M 'P 63/m'
_symmetry_Int_Tables_number 176
_symmetry_space_group_name_Hall '-P 6c'
_cell_length_a 9.2737
_cell_length_b 9.2737
_cell_length_c 5.2095
_cell_angle_alpha 90.00
_cell_angle_beta 90.00
_cell_angle_gamma 120.00
loop_
_atom_site_label
_atom_site_type_symbol
_atom_site_fract_x
_atom_site_fract_y
_atom_site_fract_z
Ho1 Ho 0.3333 0.6667 0.2500
Tm1 Tm 0.0047 0.2316 0.2500
Tl1 Tl 0.0740 0.4501 0.7500
```

No. 4
Entry from Alexandria via LeMat-Bulk: a relaxed HoTm4Tl crystal (PBE-GGA).

Output
The value obtained for the total DFT energy (no corrections) is -25.43 eV for the cell shown. The calculation puts the calculated density at 9.89 g/cm³. For the formation energy from the elements, the calculation gives -101 meV per atom. The excess energy over the best structure of this formula in the dataset comes out at 0.000 eV per atom.

Structure (CIF):
```
data_HoTm4Tl
_symmetry_space_group_name_H-M 'P 4/m m m'
_symmetry_Int_Tables_number 123
_symmetry_space_group_name_Hall '-P 4 2'
_cell_length_a 3.539
_cell_length_b 3.539
_cell_length_c 14.004
_cell_angle_alpha 90.00
_cell_angle_beta 90.00
_cell_angle_gamma 90.00
loop_
_atom_site_label
_atom_site_type_symbol
_atom_site_fract_x
_atom_site_fract_y
_atom_site_fract_z
Ho1 Ho 0.000 0.000 0.000
Tm1 Tm 0.000 0.000 0.349
Tm2 Tm 0.500 0.500 0.176
Tl1 Tl 0.500 0.500 0.500
```

No. 5
Entry from Alexandria via LeMat-Bulk: a relaxed Ho3Tm7Tl crystal (PBE-GGA).

Output
The value obtained for the total DFT energy (no corrections) is -45.68 eV for the cell shown. The calculation puts the calculated density at 9.06 g/cm³. For the formation energy from the elements, the calculation gives 157 meV per atom.

Structure (CIF):
```
data_Ho3Tm7Tl
_symmetry_space_group_name_H-M 'P 3 m 1'
_symmetry_Int_Tables_number 156
_cell_length_a 6.8766
_cell_length_b 6.8766
_cell_length_c 8.4228
_cell_angle_alpha 90.00
_cell_angle_beta 90.00
_cell_angle_gamma 120.00
loop_
_symmetry_equiv_pos_as_xyz
'x,y,z'
'-y,x-y,z'
'-x+y,-x,z'
'-y,-x,z'
'-x+y,y,z'
'x,x-y,z'
loop_
_atom_site_label
_atom_site_type_symbol
_atom_site_fract_x
_atom_site_fract_y
_atom_site_fract_z
Ho1 Ho 0.1682 0.3363 0.0000
Tm1 Tm 0.0065 0.5032 0.6604
Tm2 Tm 0.3316 0.1658 0.3374
Tm3 Tm 0.3333 0.6667 0.3268
Tl1 Tl 0.0000 0.0000 0.6616
```

No. 6
Entry from Alexandria via LeMat-Bulk: a relaxed HoTm3Tl4 crystal (PBE-GGA).

Output
The value obtained for the total DFT energy (no corrections) is -57.87 eV for the cell shown. The calculation puts the calculated density at 10.84 g/cm³. For the formation energy from the elements, the calculation gives -185 meV per atom. The excess energy over the best structure of this formula in the dataset comes out at 0.116 eV per atom.

Structure (CIF):
```
data_HoTm3Tl4
_symmetry_space_group_name_H-M 'I m m m'
_symmetry_Int_Tables_number 71
_symmetry_space_group_name_Hall '-I 2 2'
_cell_length_a 3.489
_cell_length_b 7.106
_cell_length_c 18.399
_cell_angle_alpha 90.00
_cell_angle_beta 90.00
_cell_angle_gamma 90.00
loop_
_atom_site_label
_atom_site_type_symbol
_atom_site_fract_x
_atom_site_fract_y
_atom_site_fract_z
Ho1 Ho 0.000 0.000 0.000
Tm1 Tm 0.000 0.000 0.500
Tm2 Tm 0.000 0.500 0.279
Tl1 Tl 0.000 0.282 0.127
```

Which of these has the lowest calculated density?
Ho3Tm7Tl

Please write out number 2 again, unchanged.
Entry from Alexandria via LeMat-Bulk: a relaxed Ho8TmTl6 crystal (PBE-GGA).

Output
The value obtained for the total DFT energy (no corrections) is -171.42 eV for the cell shown. The calculation puts the calculated density at 9.81 g/cm³. For the formation energy from the elements, the calculation gives -123 meV per atom.

Structure (CIF):
```
data_Ho8TmTl6
_symmetry_space_group_name_H-M 'R -3'
_symmetry_Int_Tables_number 148
_symmetry_space_group_name_Hall '-R 3'
_cell_length_a 9.0427
_cell_length_b 9.0427
_cell_length_c 19.4687
_cell_angle_alpha 90.00
_cell_angle_beta 90.00
_cell_angle_gamma 120.00
loop_
_atom_site_label
_atom_site_type_symbol
_atom_site_fract_x
_atom_site_fract_y
_atom_site_fract_z
Ho1 Ho 0.0000 0.0000 0.1666
Ho2 Ho 0.0000 0.3334 0.0577
Tm1 Tm 0.0000 0.0000 0.5000
Tl1 Tl 0.9999 0.3323 0.5645
```